Entry from the Alexandria database: crystalline Mg2ScAg at its relaxed geometry (PBE-GGA).

Lattice parameters (Å, degrees): 5.922 5.922 3.029 78.65 78.65 119.46
Sites, in units of the cell vectors:
Ag1 0.000 0.500 0.500
Mg1 0.000 0.000 0.000
Mg2 0.500 0.500 0.000
Sc1 0.500 0.000 0.500

Computed properties:
SG   No. 12
Energy relative to the elements   -0.033 eV per atom
VASP energy   -0.2297 Ry/atom